1.
Entry from Alexandria: a geometry-optimized AlReAs3 structure (GGA-PBE).

Cell lengths 4.8642, 4.8642, 4.8642 Å; angles 90.00, 90.00, 90.00 degrees
Atoms (fractional coordinates):
Re1 0.0000 0.0000 0.0000
As1 0.0000 0.5000 0.0000
Al1 0.5000 0.5000 0.5000
As2 0.5000 0.0000 0.0000
As3 0.0000 0.0000 0.5000

As for the formation energy: 671.9 meV per atom. The calculation puts the density of states at the Fermi level at 1.138 states/eV per atom. For the volume, the calculation gives 23.02 Å³ per atom. As for the space group: Pm-3m, No. 221. The calculation puts the energy relative to the lowest polymorph listed for this composition at 0.0 meV/atom.



2.
Entry from Alexandria: a geometry-optimized Pr2Er5Sc structure (GGA-PBE).

Cell lengths 4.9797, 7.0643, 14.1310 Å; angles 90.00, 90.00, 90.00 degrees
Atoms (fractional coordinates):
Er1 0.5000 0.7525 0.1242
Er2 0.0000 0.0000 0.0000
Pr1 0.5000 0.2452 0.6234
Er3 0.0000 0.5044 0.2481
Er4 0.0000 0.4956 0.7519
Pr2 0.5000 0.2548 0.1234
Er5 0.5000 0.2525 0.3758
Er6 0.0000 0.5000 0.5000
Pr3 0.5000 0.7452 0.8766
Pr4 0.5000 0.7548 0.3766
Er7 0.5000 0.2475 0.8758
Er8 0.0000 0.0044 0.2519
Sc1 0.0000 0.5000 0.0000
Sc2 0.0000 0.0000 0.5000
Er9 0.5000 0.7475 0.6242
Er10 0.0000 0.9956 0.7481

As for the formation energy: 39.3 meV per atom. The calculation puts the density of states at the Fermi level at 1.581 states/eV per atom. For the volume, the calculation gives 31.07 Å³ per atom. As for the space group: Pbam, No. 55. The calculation puts the energy relative to the lowest polymorph listed for this composition at 0.0 meV/atom.



3.
Entry from Alexandria: a geometry-optimized Dy6Bi2Ir structure (GGA-PBE).

Cell lengths 6.4837, 7.9685, 10.3911 Å; angles 90.00, 92.19, 90.00 degrees
Atoms (fractional coordinates):
Dy1 0.3613 0.8210 0.0418
Dy2 0.6402 0.1857 0.5400
Dy3 0.3708 0.5218 0.7488
Dy4 0.3598 0.8143 0.4600
Bi1 0.4039 0.1140 0.2522
Dy5 0.1402 0.3143 0.0400
Ir1 0.5000 0.5000 0.0000
Bi2 0.0961 0.6140 0.2478
Dy6 0.8708 0.9782 0.2488
Dy7 0.1387 0.3210 0.4582
Bi3 0.5961 0.8860 0.7478
Dy8 0.8598 0.6857 0.9600
Dy9 0.1292 0.0218 0.7512
Dy10 0.8613 0.6790 0.5418
Bi4 0.9039 0.3860 0.7522
Dy11 0.6387 0.1790 0.9582
Ir2 0.0000 0.0000 0.5000
Dy12 0.6292 0.4782 0.2512

As for the formation energy: -550.7 meV per atom. The calculation puts the density of states at the Fermi level at 0.975 states/eV per atom. For the volume, the calculation gives 29.80 Å³ per atom. As for the space group: P2_1/c, No. 14.



4.
Entry from Alexandria: a geometry-optimized BeNbP2O structure (GGA-PBE).

Cell lengths 4.9287, 4.9287, 3.8484 Å; angles 90.00, 90.00, 90.00 degrees
Atoms (fractional coordinates):
P1 0.5000 0.0000 0.0000
Nb1 0.0000 0.0000 0.0000
P2 0.0000 0.5000 0.0000
Be1 0.5000 0.5000 0.5000
O1 0.0000 0.0000 0.5000

The calculation puts the density of states at the Fermi level at 0.694 states/eV per atom. As for the uncorrected formation energy: 70 meV per atom. For the volume, the calculation gives 18.70 Å³ per atom. As for the space group: P4/mmm, No. 123. The calculation puts the energy relative to the lowest polymorph listed for this composition at 370.1 meV/atom.